1.
Computed, not measured: a relaxed CuTc2W crystal at the PBE-GGA level of DFT.

The symmetry is R3m. The excess energy over the best structure of this formula in the dataset is 19 kJ/mol of formula units. As for the total energy: -9.2393 eV/atom. The formation energy from the elements is 0.824 eV/f.u.

```
data_CuTc2W
_chemical_formula_sum 'Cu1 Tc2 W1'
_cell_length_a 9.136
_cell_length_b 9.136
_cell_length_c 9.136
_cell_angle_alpha 17.28
_cell_angle_beta 17.28
_cell_angle_gamma 17.28
_symmetry_space_group_name_H-M 'P 1'
_symmetry_Int_Tables_number 1
_symmetry_space_group_name_Hall 'P 1'
loop_
_atom_site_label
_atom_site_type_symbol
_atom_site_fract_x
_atom_site_fract_y
_atom_site_fract_z
Tc1 Tc 0.999 0.999 0.999
Tc2 Tc 0.254 0.254 0.254
Cu1 Cu 0.749 0.749 0.749
W1 W 0.499 0.499 0.499
```


2.
Computed, not measured: a relaxed ScNbRh3 crystal at the PBE-GGA level of DFT.

The symmetry is Pm-3m. The excess energy over the best structure of this formula in the dataset is 372 kJ/mol of formula units. As for the total energy: -7.3092 eV/atom. The formation energy from the elements is 1.910 eV/f.u.

```
data_ScNbRh3
_chemical_formula_sum 'Sc1 Nb1 Rh3'
_cell_length_a 4.713
_cell_length_b 4.713
_cell_length_c 4.713
_cell_angle_alpha 90.00
_cell_angle_beta 90.00
_cell_angle_gamma 90.00
_symmetry_space_group_name_H-M 'P 1'
_symmetry_Int_Tables_number 1
_symmetry_space_group_name_Hall 'P 1'
loop_
_atom_site_label
_atom_site_type_symbol
_atom_site_fract_x
_atom_site_fract_y
_atom_site_fract_z
Nb1 Nb 0.000 0.000 0.000
Sc1 Sc 0.500 0.500 0.500
Rh1 Rh 0.000 0.500 0.000
Rh2 Rh 0.500 0.000 0.000
Rh3 Rh 0.000 0.000 0.500
```


3.
Computed, not measured: a relaxed Nb2VGaCl crystal at the PBE-GGA level of DFT.

The value obtained for the uncorrected formation energy is 0.49 eV/atom. The symmetry is P4/mmm. As for the total energy: -6.3316 eV/atom.

```
data_Nb2VGaCl
_chemical_formula_sum 'Nb2 V1 Ga1 Cl1'
_cell_length_a 4.603
_cell_length_b 4.155
_cell_length_c 4.603
_cell_angle_alpha 90.00
_cell_angle_beta 90.00
_cell_angle_gamma 90.00
_symmetry_space_group_name_H-M 'P 1'
_symmetry_Int_Tables_number 1
_symmetry_space_group_name_Hall 'P 1'
loop_
_atom_site_label
_atom_site_type_symbol
_atom_site_fract_x
_atom_site_fract_y
_atom_site_fract_z
Nb1 Nb 0.000 0.000 0.500
Nb2 Nb 0.500 0.000 0.000
Ga1 Ga 0.500 0.500 0.500
Cl1 Cl 0.000 0.000 0.000
V1 V 0.000 0.500 0.000
```


4.
Computed, not measured: a relaxed LiPr3Ni8 crystal at the PBE-GGA level of DFT.

The symmetry is R3m. As for the total energy: -5.4787 eV/atom. The formation energy from the elements is -3.241 eV/f.u.

```
data_LiPr3Ni8
_chemical_formula_sum 'Li1 Pr3 Ni8'
_cell_length_a 5.082
_cell_length_b 5.082
_cell_length_c 8.871
_cell_angle_alpha 73.36
_cell_angle_beta 73.36
_cell_angle_gamma 60.00
_symmetry_space_group_name_H-M 'P 1'
_symmetry_Int_Tables_number 1
_symmetry_space_group_name_Hall 'P 1'
loop_
_atom_site_label
_atom_site_type_symbol
_atom_site_fract_x
_atom_site_fract_y
_atom_site_fract_z
Ni1 Ni 0.435 0.435 0.190
Ni2 Ni 0.688 0.688 0.937
Ni3 Ni 0.189 0.189 0.434
Ni4 Ni 0.441 0.939 0.681
Ni5 Ni 0.940 0.435 0.190
Ni6 Ni 0.939 0.939 0.681
Ni7 Ni 0.435 0.940 0.190
Ni8 Ni 0.939 0.441 0.681
Pr1 Pr 0.507 0.507 0.479
Pr2 Pr 0.991 0.991 0.028
Pr3 Pr 0.378 0.378 0.866
Li1 Li 0.870 0.870 0.391
```


5.
Computed, not measured: a relaxed V2PdRu crystal at the PBE-GGA level of DFT.

The symmetry is I-42d. As for the total energy: -7.8794 eV/atom. The formation energy from the elements is 1.188 eV/f.u.

```
data_V2PdRu
_chemical_formula_sum 'V4 Pd2 Ru2'
_cell_length_a 6.743
_cell_length_b 6.743
_cell_length_c 5.470
_cell_angle_alpha 51.95
_cell_angle_beta 51.95
_cell_angle_gamma 90.00
_symmetry_space_group_name_H-M 'P 1'
_symmetry_Int_Tables_number 1
_symmetry_space_group_name_Hall 'P 1'
loop_
_atom_site_label
_atom_site_type_symbol
_atom_site_fract_x
_atom_site_fract_y
_atom_site_fract_z
Pd1 Pd 0.000 0.000 0.000
Pd2 Pd 0.750 0.250 0.500
V1 V 0.608 0.125 0.250
V2 V 0.875 0.858 0.750
V3 V 0.375 0.392 0.750
V4 V 0.142 0.625 0.250
Ru1 Ru 0.250 0.750 0.500
Ru2 Ru 0.500 0.500 0.000
```


6.
Computed, not measured: a relaxed Ac4PAuSe2 crystal at the PBE-GGA level of DFT.

The value obtained for the uncorrected formation energy is -1.48 eV/atom. The symmetry is P2/m. As for the total energy: -5.4947 eV/atom.

```
data_Ac4PAuSe2
_chemical_formula_sum 'Ac4 P1 Au1 Se2'
_cell_length_a 4.435
_cell_length_b 7.862
_cell_length_c 7.816
_cell_angle_alpha 108.90
_cell_angle_beta 90.00
_cell_angle_gamma 90.00
_symmetry_space_group_name_H-M 'P 1'
_symmetry_Int_Tables_number 1
_symmetry_space_group_name_Hall 'P 1'
loop_
_atom_site_label
_atom_site_type_symbol
_atom_site_fract_x
_atom_site_fract_y
_atom_site_fract_z
P1 P 0.500 0.500 0.000
Ac1 Ac 0.000 0.738 0.240
Ac2 Ac 0.000 0.262 0.760
Ac3 Ac 0.500 0.747 0.758
Ac4 Ac 0.500 0.253 0.242
Au1 Au 0.000 0.000 0.000
Se1 Se 0.500 0.000 0.500
Se2 Se 0.000 0.500 0.500
```